Here is crystalline NpFeCoP2 at its relaxed geometry from Alexandria. Energies are from GGA-PBE.

## Properties
The volume is 14.1 A^3/atom. The space-group type is I-4m2 (119). Its density is 9.8 g cm⁻³. The density of states at the Fermi level is 1.549 states/eV/atom. The calculation puts the energy relative to the elements at -745 meV/atom.

a b c (Å): 3.7000 3.7000 5.7651
angles (deg): 108.72 108.72 90.00
Last column: magnetic moment on the atom in μB.
Fractional coordinates of all 5 atoms:
P (0.6326, 0.6326, 0.2651)  -0.02
P (0.3674, 0.3674, 0.7349)  -0.02
Fe (0.2500, 0.7500, 0.5000)  0.02
Co (0.7500, 0.2500, 0.5000)  0.03
Np (0.0000, 0.0000, 0.0000)  3.54